# 1
Here is a relaxed Lu2FeB4Ir4 crystal from the Open Quantum Materials Database. Energies are from PBE.

- symmetry = Fmmm, No. 69
- raw total energy (eV per atom) = -7.91

Cell lengths 7.338, 6.316, 5.359 Å; angles 77.40, 57.15, 45.45 degrees
Fractional positions:
B 0.490 0.774 0.226
B 0.226 0.510 0.490
B 0.774 0.490 0.510
B 0.510 0.226 0.774
Fe 0.500 0.500 0.500
Ir 0.500 0.500 0.000
Ir 0.250 0.250 0.250
Ir 0.000 0.000 0.500
Ir 0.750 0.750 0.750
Lu 0.864 0.864 0.136
Lu 0.136 0.136 0.864

=====

# 2
Here is a relaxed Lu2Fe2B4Ir3 crystal from the Open Quantum Materials Database. Energies are from PBE.

- symmetry = Fmmm, No. 69
- raw total energy (eV per atom) = -7.79

Cell lengths 7.282, 6.130, 5.434 Å; angles 77.80, 55.37, 46.83 degrees
Fractional positions:
B 0.301 0.984 0.016
B 0.016 0.699 0.301
B 0.984 0.301 0.699
B 0.699 0.016 0.984
Fe 0.250 0.250 0.250
Fe 0.750 0.750 0.750
Ir 0.000 0.000 0.000
Ir 0.500 0.500 0.000
Ir 0.000 0.000 0.500
Lu 0.646 0.646 0.354
Lu 0.354 0.354 0.646

=====

# 3
Here is a relaxed Lu2Fe2B4Ir3 crystal from the Open Quantum Materials Database. Energies are from PBE.

- symmetry = Fmmm, No. 69
- raw total energy (eV per atom) = -7.79

Cell lengths 7.395, 6.294, 5.413 Å; angles 77.95, 56.33, 45.71 degrees
Fractional positions:
B 0.459 0.790 0.210
B 0.210 0.541 0.459
B 0.790 0.459 0.541
B 0.541 0.210 0.790
Fe 0.500 0.500 0.000
Fe 0.000 0.000 0.500
Ir 0.250 0.250 0.250
Ir 0.500 0.500 0.500
Ir 0.750 0.750 0.750
Lu 0.864 0.864 0.136
Lu 0.136 0.136 0.864

=====

# 4
Here is a relaxed Lu2Fe4B4Ir crystal from the Open Quantum Materials Database. Energies are from PBE.

- symmetry = Fmmm, No. 69
- raw total energy (eV per atom) = -7.60

Cell lengths 7.250, 6.012, 5.385 Å; angles 78.79, 54.43, 46.78 degrees
Fractional positions:
B 0.478 0.797 0.203
B 0.203 0.522 0.478
B 0.797 0.478 0.522
B 0.522 0.203 0.797
Fe 0.500 0.500 0.000
Fe 0.250 0.250 0.250
Fe 0.000 0.000 0.500
Fe 0.750 0.750 0.750
Ir 0.500 0.500 0.500
Lu 0.852 0.852 0.148
Lu 0.148 0.148 0.852

=====

# 5
Here is a relaxed NbFeBIr crystal from the Open Quantum Materials Database. Energies are from PBE.

- symmetry = F-43m, No. 216
- relative energy among the computed polymorphs (eV/atom) = 0.124

Cell lengths 4.230, 4.230, 4.230 Å; angles 60.00, 60.00, 60.00 degrees
Fractional positions:
B 0.000 0.000 0.000
Fe 0.750 0.750 0.750
Ir 0.500 0.500 0.500
Nb 0.250 0.250 0.250

=====

# 6
Here is a relaxed NbFeBIr crystal from the Open Quantum Materials Database. Energies are from PBE.

- symmetry = F-43m, No. 216
- relative energy among the computed polymorphs (eV/atom) = 0.000

Cell lengths 4.171, 4.171, 4.171 Å; angles 60.00, 60.00, 60.00 degrees
Fractional positions:
B 0.000 0.000 0.000
Fe 0.750 0.750 0.750
Ir 0.250 0.250 0.250
Nb 0.500 0.500 0.500